SrMg2Si after structural relaxation, computed with PBE.

DFT total energy   -2.825 eV per atom
Uncorrected formation energy   -24 kJ/mol of atoms
Space group   P4/nmm (129)
DOS(E_F)   0.697 states/eV/f.u.

Cell lengths 4.4493, 4.4493, 10.5785 Å; angles 90.00, 90.00, 90.00 degrees
Last column: nearest neighbours and their distance in Å.
Element x y z (fractional)
Sr 0.2500 0.2500 0.2488  4 Si 3.30, 9 Mg 3.41-3.65
Sr 0.7500 0.7500 0.7512  4 Si 3.30, 9 Mg 3.41-3.65
Mg 0.2500 0.2500 0.9268  1 Si 2.85
Mg 0.2500 0.7500 0.5000  4 Si 2.78
Mg 0.7500 0.2500 0.5000  4 Si 2.78
Mg 0.7500 0.7500 0.0732  1 Si 2.85
Si 0.2500 0.2500 0.6574  5 Mg 2.78-2.85
Si 0.7500 0.7500 0.3426  5 Mg 2.78-2.85